*P*
LaAs2SeI, relaxed, DFT PBE; crystal system = tetragonal; SG = P4/mmm; magnetic moment = 0.00 μB per cell
1.0
5.346 0.000 0.000
0.000 5.346 0.000
0.000 0.000 5.278
La As Se I
1 2 1 1
Cartesian
0.000 0.000 0.000
0.000 2.673 2.639
2.673 0.000 2.639
2.673 2.673 0.000
2.673 2.673 2.639


*Q*
LaAs2SeI, relaxed, DFT PBE; crystal system = tetragonal; SG = P4/mmm; magnetic moment = 0.88 μB per cell
1.0
5.941 0.000 0.000
0.000 5.941 0.000
0.000 0.000 5.581
La As Se I
1 2 1 1
Cartesian
0.000 0.000 0.000
0.000 2.970 0.000
2.970 0.000 0.000
0.000 0.000 2.791
2.970 2.970 2.791


Which structure is the least stable? The one labeled *Q*.


*P*
LaAsSe2I, relaxed, DFT PBE; crystal system = tetragonal; SG = P4/mmm; magnetic moment = 0.00 μB per cell
1.0
5.287 0.000 0.000
0.000 5.287 0.000
0.000 0.000 5.435
La As Se I
1 1 2 1
Cartesian
0.000 0.000 0.000
2.644 2.644 0.000
0.000 2.644 2.718
2.644 0.000 2.718
2.644 2.644 2.718


*Q*
LaAsSe2I, relaxed, DFT PBE; crystal system = tetragonal; SG = P4/mmm; magnetic moment = 0.28 μB per cell
1.0
5.696 0.000 0.000
0.000 5.696 0.000
0.000 0.000 6.230
La As Se I
1 1 2 1
Cartesian
0.000 0.000 0.000
0.000 0.000 3.115
0.000 2.848 0.000
2.848 0.000 0.000
2.848 2.848 3.115


Which structure is the least stable? The one labeled *Q*.


*P*
LiAsI3, relaxed, DFT PBE; crystal system = cubic; SG = Pm-3m; magnetic moment = 1.05 μB per cell
1.0
5.434 0.000 0.000
0.000 5.434 0.000
0.000 0.000 5.434
Li As I
1 1 3
Cartesian
0.000 0.000 0.000
2.717 2.717 2.717
0.000 0.000 2.717
0.000 2.717 0.000
2.717 0.000 0.000


*Q*
LiAsI3, relaxed, DFT PBE; crystal system = cubic; SG = Pm-3m; magnetic moment = 0.00 μB per cell
1.0
5.799 0.000 0.000
0.000 5.799 0.000
0.000 0.000 5.799
Li As I
1 1 3
Cartesian
0.000 0.000 0.000
2.899 2.899 2.899
0.000 2.899 2.899
2.899 0.000 2.899
2.899 2.899 0.000


*R*
LiAsI3, relaxed, DFT PBE; crystal system = triclinic; SG = P1; magnetic moment = 0.00 μB per cell
1.0
4.827 0.000 0.000
-0.345 9.971 0.000
-2.397 -3.638 9.351
Li As I
2 2 6
Cartesian
0.000 0.000 0.000
-0.405 5.982 6.967
-1.093 2.285 4.027
0.663 3.696 2.926
0.062 2.915 0.487
-0.708 5.887 3.165
0.280 0.094 3.782
-0.483 3.062 6.464
2.069 8.664 0.253
2.007 7.285 6.706


Which structure is the least stable? The one labeled *P*.


*P*
LiAsI4, relaxed, DFT PBE; crystal system = orthorhombic; SG = Cmcm; magnetic moment = 0.00 μB per cell
1.0
4.743 -5.650 0.000
4.743 5.650 0.000
0.000 0.000 8.710
Li As I
2 2 8
Cartesian
0.000 0.000 0.000
0.000 0.000 4.355
4.743 0.414 6.533
4.743 -0.414 2.178
1.828 0.189 6.533
1.828 -0.189 2.178
4.743 2.102 4.479
4.743 2.102 8.586
4.743 -2.102 0.124
4.743 -2.102 4.231
7.658 0.189 6.533
7.658 -0.189 2.178


*Q*
LiAsI4, relaxed, DFT PBE; crystal system = monoclinic; SG = C2/c; magnetic moment = 0.00 μB per cell
1.0
4.140 -9.251 0.000
4.140 9.251 0.000
-4.072 0.000 6.097
Li As I
2 2 8
Cartesian
1.086 8.016 4.573
3.122 -8.016 1.524
3.122 1.351 1.524
1.086 -1.351 4.573
1.124 3.173 1.563
-1.049 0.962 4.719
0.988 -0.962 1.670
-0.912 -3.173 4.612
5.119 3.173 1.486
3.220 0.962 4.427
5.256 -0.962 1.379
3.083 -3.173 4.534


Which structure is the least stable? The one labeled *P*.


*P*
LiAsI2, relaxed, DFT PBE; crystal system = cubic; SG = Fm-3m; magnetic moment = 0.00 μB per cell
1.0
0.000 3.815 3.815
3.815 0.000 3.815
3.815 3.815 0.000
Li As I
1 1 2
Cartesian
0.000 0.000 0.000
3.815 3.815 3.815
1.907 1.907 1.907
5.722 5.722 5.722


*Q*
LiAsI2, relaxed, DFT PBE; crystal system = trigonal; SG = R-3m; magnetic moment = 0.00 μB per cell
1.0
1.995 1.152 9.027
-1.995 1.152 9.027
0.000 -2.303 9.027
Li As I
1 1 2
Cartesian
0.000 0.000 0.000
0.000 0.000 13.541
0.000 0.000 10.758
0.000 0.000 16.324


*R*
LiAsI2, relaxed, DFT PBE; crystal system = tetragonal; SG = I-42d; magnetic moment = 0.00 μB per cell
1.0
-2.894 2.894 8.596
2.894 -2.894 8.596
2.894 2.894 -8.596
Li As I
2 2 4
Cartesian
0.000 0.000 0.000
0.000 2.894 4.298
2.894 0.000 4.298
0.000 0.000 8.596
1.447 -1.376 6.447
1.518 1.447 2.149
1.447 4.270 -2.149
1.376 1.447 10.745


Which structure is the least stable? The one labeled *P*.


*P*
Li3AsI, relaxed, DFT PBE; crystal system = cubic; SG = Pm-3m; magnetic moment = 1.00 μB per cell
1.0
5.090 0.000 0.000
0.000 5.090 0.000
0.000 0.000 5.090
Li As I
3 1 1
Cartesian
0.000 0.000 2.545
0.000 2.545 0.000
2.545 0.000 0.000
2.545 2.545 2.545
0.000 0.000 0.000


*Q*
Li3AsI, relaxed, DFT PBE; crystal system = cubic; SG = Pm-3m; magnetic moment = 1.00 μB per cell
1.0
4.957 0.000 0.000
0.000 4.957 0.000
0.000 0.000 4.957
Li As I
3 1 1
Cartesian
0.000 0.000 2.478
0.000 2.478 0.000
2.478 0.000 0.000
0.000 0.000 0.000
2.478 2.478 2.478


Which structure is the least stable? The one labeled *P*.


*P*
LiAsIO2, relaxed, DFT PBE; crystal system = tetragonal; SG = P4/mmm; magnetic moment = 0.00 μB per cell
1.0
3.818 0.000 0.000
0.000 3.818 0.000
0.000 0.000 6.451
Li As I O
1 1 1 2
Cartesian
0.000 0.000 0.000
1.909 1.909 3.225
1.909 1.909 0.000
0.000 1.909 3.225
1.909 0.000 3.225


*Q*
LiAsIO2, relaxed, DFT PBE; crystal system = tetragonal; SG = P4/mmm; magnetic moment = 0.00 μB per cell
1.0
4.015 0.000 0.000
0.000 4.015 0.000
0.000 0.000 4.971
Li As I O
1 1 1 2
Cartesian
0.000 0.000 0.000
2.007 2.007 2.485
0.000 0.000 2.485
0.000 2.007 0.000
2.007 0.000 0.000


Which structure is the least stable? The one labeled *Q*.


*P*
LiSb2AsI, relaxed, DFT PBE; crystal system = tetragonal; SG = P4/mmm; magnetic moment = 0.00 μB per cell
1.0
5.115 0.000 0.000
0.000 5.115 0.000
0.000 0.000 5.031
Li Sb As I
1 2 1 1
Cartesian
0.000 0.000 0.000
0.000 2.558 0.000
2.558 0.000 0.000
2.558 2.558 2.516
0.000 0.000 2.516


*Q*
LiSb2AsI, relaxed, DFT PBE; crystal system = tetragonal; SG = P4/mmm; magnetic moment = 0.00 μB per cell
1.0
5.207 0.000 0.000
0.000 5.207 0.000
0.000 0.000 8.833
Li Sb As I
1 2 1 1
Cartesian
0.000 0.000 0.000
0.000 2.604 4.417
2.604 0.000 4.417
2.604 2.604 4.417
2.604 2.604 0.000


Which structure is the least stable? The one labeled *P*.


*P*
LiAsSe2I, relaxed, DFT PBE; crystal system = tetragonal; SG = P4/mmm; magnetic moment = 1.51 μB per cell
1.0
4.410 0.000 0.000
0.000 4.410 0.000
0.000 0.000 7.693
Li As Se I
1 1 2 1
Cartesian
0.000 0.000 0.000
0.000 0.000 3.846
0.000 2.205 0.000
2.205 0.000 0.000
2.205 2.205 3.846


*Q*
LiAsSe2I, relaxed, DFT PBE; crystal system = tetragonal; SG = P4/mmm; magnetic moment = 1.38 μB per cell
1.0
5.489 0.000 0.000
0.000 5.489 0.000
0.000 0.000 5.494
Li As Se I
1 1 2 1
Cartesian
0.000 0.000 0.000
2.744 2.744 0.000
0.000 2.744 2.747
2.744 0.000 2.747
2.744 2.744 2.747


Which structure is the least stable? The one labeled *Q*.


*P*
MgAsI2N, relaxed, DFT PBE; crystal system = tetragonal; SG = P4/mmm; magnetic moment = 0.00 μB per cell
1.0
6.032 0.000 0.000
0.000 6.032 0.000
0.000 0.000 3.732
Mg As I N
1 1 2 1
Cartesian
0.000 0.000 0.000
3.016 3.016 1.866
0.000 3.016 1.866
3.016 0.000 1.866
3.016 3.016 0.000


*Q*
MgAsI2N, relaxed, DFT PBE; crystal system = tetragonal; SG = P4/mmm; magnetic moment = 0.00 μB per cell
1.0
5.690 0.000 0.000
0.000 5.690 0.000
0.000 0.000 3.913
Mg As I N
1 1 2 1
Cartesian
0.000 0.000 0.000
2.845 2.845 1.957
0.000 2.845 0.000
2.845 0.000 0.000
0.000 0.000 1.957


Which structure is the least stable? The one labeled *Q*.


*P*
MgSbAsI2, relaxed, DFT PBE; crystal system = tetragonal; SG = P4/mmm; magnetic moment = 1.17 μB per cell
1.0
5.498 0.000 0.000
0.000 5.498 0.000
0.000 0.000 5.864
Mg Sb As I
1 1 1 2
Cartesian
0.000 0.000 0.000
0.000 0.000 2.932
2.749 2.749 2.932
0.000 2.749 0.000
2.749 0.000 0.000


*Q*
MgSbAsI2, relaxed, DFT PBE; crystal system = tetragonal; SG = P4/mmm; magnetic moment = 0.00 μB per cell
1.0
5.605 0.000 0.000
0.000 5.605 0.000
0.000 0.000 5.642
Mg Sb As I
1 1 1 2
Cartesian
0.000 0.000 0.000
2.803 2.803 0.000
2.803 2.803 2.821
0.000 2.803 2.821
2.803 0.000 2.821


Which structure is the least stable? The one labeled *P*.


*P*
MgSb2AsI, relaxed, DFT PBE; crystal system = tetragonal; SG = P4/mmm; magnetic moment = 0.00 μB per cell
1.0
5.462 0.000 0.000
0.000 5.462 0.000
0.000 0.000 5.573
Mg Sb As I
1 2 1 1
Cartesian
0.000 0.000 0.000
0.000 2.731 2.787
2.731 0.000 2.787
2.731 2.731 2.787
2.731 2.731 0.000


*Q*
MgSb2AsI, relaxed, DFT PBE; crystal system = tetragonal; SG = P4/mmm; magnetic moment = 0.00 μB per cell
1.0
5.480 0.000 0.000
0.000 5.480 0.000
0.000 0.000 5.301
Mg Sb As I
1 2 1 1
Cartesian
0.000 0.000 0.000
0.000 2.740 0.000
2.740 0.000 0.000
2.740 2.740 2.651
0.000 0.000 2.651


Which structure is the least stable? The one labeled *Q*.


*P*
MgTeAsI2, relaxed, DFT PBE; crystal system = tetragonal; SG = P4/mmm; magnetic moment = 0.00 μB per cell
1.0
5.568 0.000 0.000
0.000 5.568 0.000
0.000 0.000 5.750
Mg Te As I
1 1 1 2
Cartesian
0.000 0.000 0.000
2.784 2.784 0.000
2.784 2.784 2.875
0.000 2.784 2.875
2.784 0.000 2.875


*Q*
MgTeAsI2, relaxed, DFT PBE; crystal system = tetragonal; SG = P4/mmm; magnetic moment = 1.07 μB per cell
1.0
5.492 0.000 0.000
0.000 5.492 0.000
0.000 0.000 5.962
Mg Te As I
1 1 1 2
Cartesian
0.000 0.000 0.000
0.000 0.000 2.981
2.746 2.746 2.981
0.000 2.746 0.000
2.746 0.000 0.000


Which structure is the least stable? The one labeled *Q*.